Cs3Ba2O8 | PBE-GGA | relaxed

Unit cell a=5.3288 b=7.4105 c=7.4105 alpha=86.72 beta=91.10 gamma=91.10
Last column: nearest neighbours and their distance in Å.
Fractional positions:
Cs  0.5000  0.0000  0.0000  6 O 3.07-3.44, 2 Ba 3.30
Cs  0.0000  0.7448  0.2552  4 O 2.99-3.27
Cs  0.0000  0.2552  0.7448  4 O 2.99-3.27
Ba  0.5026  0.6939  0.6939  8 O 2.70-2.86
Ba  0.4974  0.3061  0.3061  8 O 2.70-2.86
O  0.0005  0.3473  0.3473  1 O 1.46
O  0.9995  0.6527  0.6527  1 O 1.46
O  0.0059  0.7878  0.7878  1 O 1.46
O  0.9941  0.2122  0.2122  1 O 1.46
O  0.4975  0.4147  0.9518  1 O 1.49
O  0.4975  0.9518  0.4147  1 O 1.49
O  0.5025  0.0482  0.5853  1 O 1.49
O  0.5025  0.5853  0.0482  1 O 1.49

Calculated values
The value obtained for the uncorrected formation energy is -1198 meV/atom. As for the crystal system: monoclinic. The calculation puts the electronic total energy at -61.651 eV per cell. Its space group is C2/m (12). For the magnetization, the calculation gives 1.06 μB per cell.